1.
VASP calculation (GGA-PBE) on an optimized crystal structure of LiTh2Pt9.

Cell: 5.4668 5.4668 9.4164 Å, 73.13 73.13 60.00°
Last column: nearest neighbours and their distance in Å.
Fractional coordinates of all 12 atoms:
Th 0.1344 0.1344 0.5968  9 Pt 3.04-3.27
Th 0.8656 0.8656 0.4032  9 Pt 3.04-3.27
Pt 0.4125 0.4125 0.2538  7 Pt 2.69-2.79
Pt 0.5000 0.5000 0.5000  6 Pt 2.71
Pt 0.5875 0.0788 0.7462  7 Pt 2.69-2.79
Pt 0.6676 0.6676 0.9972  6 Pt 2.71-2.79
Pt 0.9212 0.4125 0.2538  7 Pt 2.69-2.79
Pt 0.5875 0.5875 0.7462  7 Pt 2.69-2.79
Pt 0.3324 0.3324 0.0028  6 Pt 2.71-2.79
Pt 0.0788 0.5875 0.7462  7 Pt 2.69-2.79
Pt 0.4125 0.9212 0.2538  7 Pt 2.69-2.79
Li 0.0000 0.0000 0.0000  6 Pt 3.16

Properties
The crystal system is trigonal. The calculation puts the formation energy at -0.72 eV/atom. The calculation puts the polymorph energy (0 for the lowest one) at 149.3 meV/atom.

---

2.
VASP calculation (GGA-PBE) on an optimized crystal structure of BaH2BrF8.

Cell: 4.7103 4.6421 8.6634 Å, 71.06 88.23 89.33°
Last column: nearest neighbours and their distance in Å.
Fractional coordinates of all 12 atoms:
H 0.3634 0.6880 0.3504  2 F 1.12-1.18
H 0.6366 0.3120 0.6496  2 F 1.12-1.18
F 0.1544 0.5807 0.3202  1 H 1.18
F 0.9241 0.1969 0.1544  1 Br 1.87
F 0.3236 0.2359 0.9341  1 Br 1.85
F 0.6764 0.7641 0.0659  1 Br 1.85
F 0.4838 0.1763 0.6048  1 H 1.12
F 0.5162 0.8237 0.3952  1 H 1.12
F 0.8456 0.4193 0.6798  1 H 1.18
F 0.0759 0.8031 0.8456  1 Br 1.87
Ba 0.0000 0.0000 0.5000  10 F 2.71-2.93, 2 H 2.78
Br 0.0000 0.0000 0.0000  4 F 1.85-1.87

Properties
The crystal system is triclinic. The value obtained for the total energy is -3.96 eV/atom.

---

3.
VASP calculation (GGA-PBE) on an optimized crystal structure of HfBeTe.

Cell: 8.7143 3.7688 8.6958 Å, 90.00 90.02 90.00°
Last column: nearest neighbours and their distance in Å.
Fractional coordinates of all 12 atoms:
Hf 0.4207 0.0000 0.8251  3 Be 2.48-2.71
Hf 0.1808 0.0000 0.4608  6 Be 2.54-2.71
Hf 0.1808 0.5000 0.9608  6 Be 2.54-2.71
Hf 0.4207 0.5000 0.3251  3 Be 2.48-2.71
Te 0.5626 0.5000 0.0256  3 Hf 2.85-2.88
Te 0.9737 0.0000 0.1644  3 Be 2.52-2.57
Te 0.5626 0.0000 0.5256  3 Hf 2.85-2.88
Te 0.9737 0.5000 0.6644  3 Be 2.52-2.57
Be 0.2690 0.5000 0.6616  2 Be 2.30, 1 Te 2.57
Be 0.1460 0.0000 0.7509  2 Be 2.30, 2 Hf 2.48-2.54, 2 Te 2.52
Be 0.2690 0.0000 0.1616  2 Be 2.30, 1 Te 2.57
Be 0.1460 0.5000 0.2509  2 Be 2.30, 2 Hf 2.48-2.54, 2 Te 2.52

Properties
The crystal system is monoclinic. For the formation energy without anion corrections, the calculation gives -0.230 eV per atom. The calculation puts the polymorph energy (0 for the lowest one) at 359.2 meV/atom.

---

4.
VASP calculation (GGA-PBE) on an optimized crystal structure of K2GaTeO4.

Cell: 6.4724 6.0468 6.0764 Å, 115.04 129.01 94.21°
Last column: nearest neighbours and their distance in Å.
Fractional coordinates of all 8 atoms:
O 0.0091 0.0886 0.6862  1 Ga 1.88
O 0.7987 0.7514 0.8463  1 Ga 1.89
O 0.8613 0.4763 0.3977  1 Ga 1.85
O 0.3580 0.6935 0.1361  1 Ga 1.92, 1 Te 1.96
K 0.2207 0.2553 0.4695  3 O 2.66-2.80
K 0.4512 0.9398 0.9020  5 O 2.65-2.87
Te 0.9379 0.4376 0.8339  3 O 1.96-2.15
Ga 0.7502 0.7445 0.5023  4 O 1.85-1.92

Properties
The crystal system is triclinic. For the formation energy without anion corrections, the calculation gives -1.352 eV per atom.

---

5.
VASP calculation (GGA-PBE) on an optimized crystal structure of LiTc2Hg.

Cell: 2.6551 2.6551 9.1365 Å, 90.00 90.00 90.00°
Last column: nearest neighbours and their distance in Å.
Fractional coordinates of all 4 atoms:
Tc 0.0000 0.0000 0.5119  4 Tc 2.66, 4 Li 2.87
Tc 0.0000 0.0000 0.9881  4 Tc 2.66, 4 Li 2.87
Hg 0.5000 0.5000 0.2500  4 Hg 2.66
Li 0.5000 0.5000 0.7500  4 Li 2.66, 8 Tc 2.87

Properties
The crystal system is tetragonal. The calculation puts the formation energy at 0.67 eV/atom.

---

6.
VASP calculation (GGA-PBE) on an optimized crystal structure of CrFeBr2.

Cell: 3.3980 3.3980 7.4837 Å, 90.00 90.00 87.71°
Last column: nearest neighbours and their distance in Å.
Fractional coordinates of all 4 atoms:
Br 0.5000 0.5000 0.3502  4 Cr 2.70-2.78, 1 Fe 2.82
Br 0.0000 0.0000 0.8964  4 Fe 2.67-2.76, 1 Cr 2.77
Fe 0.5000 0.5000 0.7267  5 Br 2.67-2.82, 4 Cr 2.79-2.87
Cr 0.0000 0.0000 0.5267  5 Br 2.70-2.78, 4 Fe 2.79-2.87

Properties
The crystal system is orthorhombic. For the formation energy without anion corrections, the calculation gives 0.241 eV per atom. The calculation puts the polymorph energy (0 for the lowest one) at 177.8 meV/atom.

---

Which total magnetization belongs to each record? In order, 0.0 1.0 0.0 0.0 0.0 7.1 μB per formula unit.